# 1
# InAg3As | the Alexandria database | PBE | optimized geometry
# spin magnetization: 0.000 μB/cell
# E_form: 1.3 eV/f.u.
# distance to the lowest polymorph of the same formula: 0.00 kcal/mol of atoms
data_InAg3As
_cell_length_a 5.024
_cell_length_b 5.024
_cell_length_c 5.024
_cell_angle_alpha 90.00
_cell_angle_beta 90.00
_cell_angle_gamma 90.00
_space_group_name_H-M_alt 'P m -3 m'
_space_group_IT_number 221
_space_group_name_Hall '-P 4 2 3'
loop_
_atom_site_label
_atom_site_type_symbol
_atom_site_fract_x
_atom_site_fract_y
_atom_site_fract_z
_atom_site_occupancy
In1 In 0.000 0.000 0.000 1
Ag1 Ag 0.000 0.500 0.500 1
As1 As 0.500 0.500 0.500 1

# 2
# Tm3Zn2Pd8 | the Alexandria database | PBE | optimized geometry
# spin magnetization: 0.000 μB/cell
# E_form: -7.7 eV/f.u.
data_Tm3Zn2Pd8
_cell_length_a 5.3803
_cell_length_b 5.3803
_cell_length_c 28.9121
_cell_angle_alpha 90.00
_cell_angle_beta 90.00
_cell_angle_gamma 120.00
_space_group_name_H-M_alt 'R -3 m'
_space_group_IT_number 166
_space_group_name_Hall '-R 3 2"'
loop_
_atom_site_label
_atom_site_type_symbol
_atom_site_fract_x
_atom_site_fract_y
_atom_site_fract_z
_atom_site_occupancy
Tm1 Tm 0.0000 0.0000 0.0000 1
Tm2 Tm 0.0000 0.0000 0.1905 1
Zn1 Zn 0.0000 0.0000 0.3676 1
Pd1 Pd 0.0000 0.0000 0.2846 1
Pd2 Pd 0.0032 0.5016 0.7697 1